(a)
Compound: YIn3Te
Source: Alexandria via LeMat-Bulk
Functional: PBE-GGA
Structure: optimized geometry

POSCAR file:
```
YIn3Te
1.0
5.715 0.000 0.000
0.000 5.715 0.000
0.000 0.000 5.715
Y In Te
1 3 1
Cartesian
0.000 0.000 0.000
0.000 2.858 2.858
2.858 0.000 2.858
2.858 2.858 0.000
2.858 2.858 2.858
```

Results
Crystal system ... cubic
Magnetic moment ... 0.00 μB per cell

(b)
Compound: YIn3Te
Source: Alexandria via LeMat-Bulk
Functional: PBE-GGA
Structure: optimized geometry

POSCAR file:
```
YIn3Te
1.0
5.926 0.000 0.000
0.000 5.926 0.000
0.000 0.000 5.926
Y In Te
1 3 1
Cartesian
0.000 0.000 0.000
0.000 0.000 2.963
0.000 2.963 0.000
2.963 0.000 0.000
2.963 2.963 2.963
```

Results
Crystal system ... cubic
Magnetic moment ... 0.94 μB per cell

Stability order, top to bottom: (a), (b)

(a)
Compound: Zn2InTe
Source: Alexandria via LeMat-Bulk
Functional: PBE-GGA
Structure: optimized geometry

POSCAR file:
```
Zn2InTe
1.0
0.000 3.620 3.620
3.620 0.000 3.620
3.620 3.620 0.000
Zn In Te
2 1 1
Cartesian
1.810 1.810 1.810
5.430 5.430 5.430
0.000 0.000 0.000
3.620 3.620 3.620
```

Results
Crystal system ... cubic
Magnetic moment ... 0.00 μB per cell

(b)
Compound: Zn2InTe
Source: Alexandria via LeMat-Bulk
Functional: PBE-GGA
Structure: optimized geometry

POSCAR file:
```
Zn2InTe
1.0
-3.387 3.387 5.151
3.387 -3.387 5.151
3.387 3.387 -5.151
Zn In Te
4 2 2
Cartesian
5.081 1.645 -1.288
1.645 1.694 1.288
-1.694 1.742 3.863
1.742 1.694 6.439
3.387 0.000 2.576
0.000 0.000 5.151
0.000 0.000 0.000
0.000 3.387 2.576
```

Results
Crystal system ... tetragonal
Magnetic moment ... 0.00 μB per cell

(c)
Compound: Zn2InTe
Source: Alexandria via LeMat-Bulk
Functional: PBE-GGA
Structure: optimized geometry

POSCAR file:
```
Zn2InTe
1.0
4.517 0.000 0.000
0.000 3.960 0.000
-2.108 0.000 5.376
Zn In Te
2 1 1
Cartesian
0.000 0.000 0.000
-0.868 1.980 4.169
0.966 0.000 2.871
2.937 1.980 1.233
```

Results
Crystal system ... monoclinic
Magnetic moment ... 0.00 μB per cell

Stability order, top to bottom: (c), (b), (a)